Entry 1:
The following is a GGA-PBE calculation of an optimized crystal structure of KSi2Te, from Alexandria via LeMat-Bulk.

```
4
Lattice="5.219 0.000 0.000 0.000 3.939 0.000 -1.817 0.000 5.933" Properties=species:S:1:pos:R:3 pbc="T T T"
K 0.000 0.000 0.000
Si -0.344 1.969 3.089
Si 0.883 0.000 3.651
Te 2.609 1.969 1.951
```

---

Entry 2:
The following is a GGA-PBE calculation of an optimized crystal structure of KSiTe3, from Alexandria via LeMat-Bulk.

```
5
Lattice="5.456 0.000 0.000 0.000 5.456 0.000 0.000 0.000 5.456" Properties=species:S:1:pos:R:3 pbc="T T T"
K 0.000 0.000 0.000
Si 2.728 2.728 2.728
Te 0.000 2.728 2.728
Te 2.728 0.000 2.728
Te 2.728 2.728 0.000
```

---

Entry 3:
The following is a GGA-PBE calculation of an optimized crystal structure of K3SiTe4, from Alexandria via LeMat-Bulk.

```
32
Lattice="9.934 0.000 0.000 0.000 11.735 0.000 0.000 0.000 10.782" Properties=species:S:1:pos:R:3 pbc="T T T"
K 0.478 0.564 2.075
K 0.478 5.303 2.075
K 1.469 8.801 4.411
K 3.498 2.934 9.802
K 4.489 6.432 7.466
K 4.489 11.171 7.466
K 5.446 0.564 3.316
K 5.446 5.303 3.316
K 6.436 8.801 0.980
K 8.466 2.934 6.371
K 9.456 6.432 8.707
K 9.456 11.171 8.707
Si 2.369 8.801 10.378
Si 2.598 2.934 4.987
Si 7.336 8.801 5.796
Si 7.565 2.934 0.405
Te 0.246 8.801 0.990
Te 1.476 0.764 5.765
Te 1.476 5.103 5.765
Te 1.945 8.801 7.911
Te 3.022 2.934 2.519
Te 3.491 6.632 0.374
Te 3.491 10.970 0.374
Te 4.721 2.934 6.381
Te 5.214 8.801 4.402
Te 6.443 0.764 10.408
Te 6.443 5.103 10.408
Te 6.912 8.801 8.263
Te 7.990 2.934 2.872
Te 8.459 6.632 5.017
Te 8.459 10.970 5.017
Te 9.688 2.934 9.793
```

Summary:
Relative energy among the computed polymorphs in eV per atom: 0.000

---

Entry 4:
The following is a GGA-PBE calculation of an optimized crystal structure of KSi2Te, from Alexandria via LeMat-Bulk.

```
4
Lattice="3.078 -5.416 0.000 3.078 5.416 0.000 0.000 0.000 2.957" Properties=species:S:1:pos:R:3 pbc="T T T"
K 0.000 0.000 0.000
Si 1.539 2.708 1.478
Si 1.539 -2.708 1.478
Te 3.078 0.000 0.000
```

---

Entry 5:
The following is a GGA-PBE calculation of an optimized crystal structure of K2Si2Te5, from Alexandria via LeMat-Bulk.

```
9
Lattice="6.847 -2.649 0.000 6.847 2.649 0.000 -2.204 0.000 9.502" Properties=species:S:1:pos:R:3 pbc="T T T"
K 0.516 0.000 3.325
K 10.976 0.000 6.177
Si 4.294 0.000 1.091
Si 7.197 0.000 8.411
Te -0.156 0.000 9.192
Te 4.300 0.000 3.565
Te 6.847 0.000 0.000
Te 7.191 0.000 5.937
Te 11.647 0.000 0.311
```

---

Entry 6:
The following is a GGA-PBE calculation of an optimized crystal structure of K7SiTe6, from Alexandria via LeMat-Bulk.

```
28
Lattice="-4.513 7.657 9.210 4.513 -7.657 9.210 4.513 7.657 -9.210" Properties=species:S:1:pos:R:3 pbc="T T T"
K 2.065 0.587 0.000
K 5.885 3.142 -2.401
K 1.372 4.515 -2.401
K 0.000 0.000 4.605
K 5.885 3.142 2.401
K 1.372 4.515 2.401
K 2.065 -0.587 9.210
K 2.449 8.244 0.000
K 3.142 3.142 6.809
K -1.372 4.515 6.809
K 0.000 0.000 13.815
K 3.142 3.142 11.612
K -1.372 4.515 11.612
K 2.449 7.070 9.210
Si 4.513 0.000 4.605
Si 0.000 7.657 4.605
Te 6.073 -1.460 3.245
Te 3.851 -4.977 9.210
Te 2.954 -1.460 5.965
Te 2.954 1.460 3.245
Te 3.851 4.977 0.000
Te 6.073 1.460 5.965
Te -1.560 6.197 3.245
Te 0.662 2.680 9.210
Te 1.560 6.197 5.965
Te 1.560 9.117 3.245
Te 0.662 12.634 0.000
Te -1.560 9.117 5.965
```

---

| no. | energy (eV/atom) | formation energy (no corrections) (eV/f.u.) |
| --- | --- | --- |
| 1 | -3.668 | 0.4 |
| 2 | -3.284 | -0.5 |
| 3 | -3.324 | -5.3 |
| 4 | -3.198 | 2.3 |
| 5 | -3.477 | -2.5 |
| 6 | -3.071 | -11.0 |